(1)
Below is a relaxed VGa2Pd crystal, with properties calculated at the PBE-GGA level.

The structure belongs to space group I-42d (No. 122); the cell edges are 6.875, 6.875 and 5.547 Å and the angles 90.00°, 90.00° and 90.00°. Symmetry generates all atoms from V at (0.000, 0.000, 0.000), Ga at (0.241, 0.250, 0.625) and Pd at (0.000, 0.000, 0.500).



(2)
Below is a relaxed VGaPd5 crystal, with properties calculated at the PBE-GGA level.

The structure belongs to space group C2/c (No. 15); the cell edges are 9.479, 9.403 and 6.524 Å and the angles 90.00°, 122.53° and 90.00°. Symmetry generates all atoms from V at (0.000, 0.037, 0.250), Ga at (0.000, 0.500, 0.000), Pd at (0.000, 0.302, 0.250), Pd at (0.121, 0.182, 0.001) and Pd at (0.206, 0.099, 0.675).

The value obtained for the relative energy among the computed polymorphs is 164.1 meV per atom.



(3)
Below is a relaxed VGa2Pd crystal, with properties calculated at the PBE-GGA level.

The structure belongs to space group Fm-3m (No. 225); the cell edges are 6.215, 6.215 and 6.215 Å and the angles 90.00°, 90.00° and 90.00°. Symmetry generates all atoms from V at (0.000, 0.000, 0.000), Ga at (0.250, 0.250, 0.250) and Pd at (0.000, 0.000, 0.500).



(4)
Below is a relaxed V2GaPd2 crystal, with properties calculated at the PBE-GGA level.

The structure belongs to space group P4/mbm (No. 127); the cell edges are 7.444, 7.444 and 2.763 Å and the angles 90.00°, 90.00° and 90.00°. Symmetry generates all atoms from V at (0.170, 0.330, 0.000), Ga at (0.000, 0.000, 0.500) and Pd at (0.127, 0.627, 0.500).

The value obtained for the relative energy among the computed polymorphs is 0.0 meV per atom.



(5)
Below is a relaxed VGa2Pd crystal, with properties calculated at the PBE-GGA level.

The structure belongs to space group R3m (No. 160, hexagonal axes); the cell edges are 2.8691, 2.8691 and 25.1525 Å and the angles 90.00°, 90.00° and 120.00°. Symmetry generates all atoms from V at (0.0000, 0.0000, 0.0000), Ga at (0.0000, 0.0000, 0.2497), Ga at (0.0000, 0.0000, 0.4178) and Pd at (0.0000, 0.0000, 0.8340).



(6)
Below is a relaxed VGa2Pd crystal, with properties calculated at the PBE-GGA level.

The structure belongs to space group P4/mmm (No. 123); the cell edges are 4.131, 4.131 and 3.456 Å and the angles 90.00°, 90.00° and 90.00°. Symmetry generates all atoms from V at (0.000, 0.000, 0.000), Ga at (0.000, 0.500, 0.500) and Pd at (0.500, 0.500, 0.000).



Number 1: electronic total energy -5.083 eV/atom, formation energy 0.008 eV per atom. Number 2: electronic total energy -5.468 eV/atom, formation energy -0.024 eV per atom. Number 3: electronic total energy -5.375 eV/atom, formation energy -0.283 eV per atom. Number 4: electronic total energy -6.373 eV/atom, formation energy -0.043 eV per atom. Number 5: electronic total energy -5.376 eV/atom, formation energy -0.284 eV per atom. Number 6: electronic total energy -5.416 eV/atom, formation energy -0.325 eV per atom.